# MnAl2Ag (PBE, optimized geometry)
data_MnAl2Ag
_cell_length_a 2.8467
_cell_length_b 2.8467
_cell_length_c 7.7500
_cell_angle_alpha 90.00
_cell_angle_beta 90.00
_cell_angle_gamma 90.00
_space_group_name_H-M_alt 'P 4 m m'
_space_group_IT_number 99
loop_
_space_group_symop_operation_xyz
'x,y,z'
'-y,x,z'
'-x,-y,z'
'y,-x,z'
'-x,y,z'
'y,x,z'
'x,-y,z'
'-y,-x,z'
loop_
_atom_site_label
_atom_site_type_symbol
_atom_site_fract_x
_atom_site_fract_y
_atom_site_fract_z
Mn1 Mn 0.0000 0.0000 0.0000
Al1 Al 0.0000 0.0000 0.5247
Al2 Al 0.5000 0.5000 0.7877
Ag1 Ag 0.5000 0.5000 0.2644
# - relative energy among the computed polymorphs (meV per atom) = 186
# - E_tot (eV/atom) = -4.85
# - calculated formation energy (eV per formula unit) = 0.103
# - mass density (g cm⁻³) = 5.7
# - M_tot (Bohr magnetons per cell) = 3.03



# NaHoO2 (PBE, optimized geometry)
data_NaHoO2
_cell_length_a 6.6505
_cell_length_b 13.2182
_cell_length_c 5.9524
_cell_angle_alpha 90.00
_cell_angle_beta 122.56
_cell_angle_gamma 90.00
_space_group_name_H-M_alt 'C 1 2/c 1'
_space_group_IT_number 15
loop_
_space_group_symop_operation_xyz
'x,y,z'
'-x,-y,-z'
'-x,y,-z+1/2'
'x,-y,z+1/2'
'x+1/2,y+1/2,z'
'-x+1/2,-y+1/2,-z'
'-x+1/2,y+1/2,-z+1/2'
'x+1/2,-y+1/2,z+1/2'
loop_
_atom_site_label
_atom_site_type_symbol
_atom_site_fract_x
_atom_site_fract_y
_atom_site_fract_z
Na1 Na 0.0000 0.0558 0.2500
Na2 Na 0.0000 0.1803 0.7500
Ho1 Ho 0.0000 0.3066 0.2500
Ho2 Ho 0.0000 0.4328 0.7500
O1 O 0.2041 0.4365 0.2050
O2 O 0.2281 0.3119 0.7068
# - E_tot (eV/atom) = -6.78
# - uncorrected formation energy (eV per atom) = -2.83
# - mass density (g cm⁻³) = 6.6
# - M_tot (Bohr magnetons per cell) = 0.00



# PmBiN (PBE, optimized geometry)
data_PmBiN
_cell_length_a 4.2734
_cell_length_b 4.2734
_cell_length_c 8.1016
_cell_angle_alpha 90.00
_cell_angle_beta 90.00
_cell_angle_gamma 90.00
_space_group_name_H-M_alt 'P 4/n m m'
_space_group_IT_number 129
loop_
_space_group_symop_operation_xyz
'x,y,z'
'-x,-y,-z'
'-y+1/2,x,z'
'y+1/2,-x,-z'
'-x+1/2,-y+1/2,z'
'x+1/2,y+1/2,-z'
'y,-x+1/2,z'
'-y,x+1/2,-z'
'x+1/2,-y,-z'
'-x+1/2,y,z'
'-y,-x,-z'
'y,x,z'
'-x,y+1/2,-z'
'x,-y+1/2,z'
'y+1/2,x+1/2,-z'
'-y+1/2,-x+1/2,z'
loop_
_atom_site_label
_atom_site_type_symbol
_atom_site_fract_x
_atom_site_fract_y
_atom_site_fract_z
Pm1 Pm 0.2500 0.2500 0.1200
Bi1 Bi 0.2500 0.2500 0.5769
N1 N 0.2500 0.7500 0.0000
# - relative energy among the computed polymorphs (meV per atom) = 0
# - E_tot (eV/atom) = -6.36
# - uncorrected formation energy (eV per atom) = -0.71
# - mass density (g cm⁻³) = 8.3
# - M_tot (Bohr magnetons per cell) = 0.42



# Ta2Co2Sb (PBE, optimized geometry)
data_Ta2Co2Sb
_cell_length_a 7.4356
_cell_length_b 7.4356
_cell_length_c 2.9965
_cell_angle_alpha 90.00
_cell_angle_beta 90.00
_cell_angle_gamma 90.00
_space_group_name_H-M_alt 'P 4/m b m'
_space_group_IT_number 127
_space_group_name_Hall '-P 4 2ab'
loop_
_atom_site_label
_atom_site_type_symbol
_atom_site_fract_x
_atom_site_fract_y
_atom_site_fract_z
Ta1 Ta 0.1520 0.3480 0.0000
Co1 Co 0.1298 0.6298 0.5000
Sb1 Sb 0.0000 0.0000 0.0000
# - relative energy among the computed polymorphs (meV per atom) = 264
# - E_tot (eV/atom) = -8.22
# - uncorrected formation energy (eV per atom) = 0.18
# - mass density (g cm⁻³) = 12.1
# - M_tot (Bohr magnetons per cell) = 0.00



# NdDyGePd (PBE, optimized geometry)
data_NdDyGePd
_cell_length_a 4.3317
_cell_length_b 4.0351
_cell_length_c 11.0455
_cell_angle_alpha 90.00
_cell_angle_beta 90.00
_cell_angle_gamma 90.00
_space_group_name_H-M_alt 'A m m 2'
_space_group_IT_number 38
loop_
_space_group_symop_operation_xyz
'x,y,z'
'-x,-y,z'
'-x,y,z'
'x,-y,z'
'x,y+1/2,z+1/2'
'-x,-y+1/2,z+1/2'
'-x,y+1/2,z+1/2'
'x,-y+1/2,z+1/2'
loop_
_atom_site_label
_atom_site_type_symbol
_atom_site_fract_x
_atom_site_fract_y
_atom_site_fract_z
Nd1 Nd 0.0000 0.0000 0.0000
Dy1 Dy 0.5000 0.0000 0.7234
Ge1 Ge 0.5000 0.0000 0.4368
Pd1 Pd 0.0000 0.0000 0.2782
# - relative energy among the computed polymorphs (meV per atom) = 0
# - E_tot (eV/atom) = -5.64
# - calculated formation energy (eV per formula unit) = -3.385
# - mass density (g cm⁻³) = 8.4
# - M_tot (Bohr magnetons per cell) = 0.00



# Tb10Ho4Er (PBE, optimized geometry)
data_Tb10Ho4Er
_cell_length_a 12.0964
_cell_length_b 12.0964
_cell_length_c 7.6511
_cell_angle_alpha 90.00
_cell_angle_beta 90.00
_cell_angle_gamma 90.00
_space_group_name_H-M_alt 'I 4/m'
_space_group_IT_number 87
_space_group_name_Hall '-I 4'
loop_
_atom_site_label
_atom_site_type_symbol
_atom_site_fract_x
_atom_site_fract_y
_atom_site_fract_z
Tb1 Tb 0.0000 0.5000 0.2500
Tb2 Tb 0.0995 0.2002 0.2503
Ho1 Ho 0.1003 0.7005 0.0000
Er1 Er 0.0000 0.0000 0.5000
# - E_tot (eV/atom) = -3.89
# - calculated formation energy (eV per formula unit) = 10.822
# - mass density (g cm⁻³) = 7.2
# - M_tot (Bohr magnetons per cell) = 0.00



# Y9ErTh2 (PBE, optimized geometry)
data_Y9ErTh2
_cell_length_a 5.0519
_cell_length_b 5.0519
_cell_length_c 15.1210
_cell_angle_alpha 90.00
_cell_angle_beta 90.00
_cell_angle_gamma 90.00
_space_group_name_H-M_alt 'P 4/m m m'
_space_group_IT_number 123
_space_group_name_Hall '-P 4 2'
loop_
_atom_site_label
_atom_site_type_symbol
_atom_site_fract_x
_atom_site_fract_y
_atom_site_fract_z
Y1 Y 0.0000 0.0000 0.0000
Y2 Y 0.0000 0.0000 0.3328
Y3 Y 0.0000 0.5000 0.1680
Y4 Y 0.0000 0.5000 0.5000
Er1 Er 0.5000 0.5000 0.0000
Th1 Th 0.5000 0.5000 0.3340
# - E_tot (eV/atom) = -6.42
# - calculated formation energy (eV per formula unit) = 0.496
# - mass density (g cm⁻³) = 6.2
# - M_tot (Bohr magnetons per cell) = 0.00



Q: Among the records above, which one has the highest mass density?
A: Ta2Co2Sb



Please write out number 7 again, unchanged.
# Y9ErTh2 (PBE, optimized geometry)
data_Y9ErTh2
_cell_length_a 5.0519
_cell_length_b 5.0519
_cell_length_c 15.1210
_cell_angle_alpha 90.00
_cell_angle_beta 90.00
_cell_angle_gamma 90.00
_space_group_name_H-M_alt 'P 4/m m m'
_space_group_IT_number 123
_space_group_name_Hall '-P 4 2'
loop_
_atom_site_label
_atom_site_type_symbol
_atom_site_fract_x
_atom_site_fract_y
_atom_site_fract_z
Y1 Y 0.0000 0.0000 0.0000
Y2 Y 0.0000 0.0000 0.3328
Y3 Y 0.0000 0.5000 0.1680
Y4 Y 0.0000 0.5000 0.5000
Er1 Er 0.5000 0.5000 0.0000
Th1 Th 0.5000 0.5000 0.3340
# - E_tot (eV/atom) = -6.42
# - calculated formation energy (eV per formula unit) = 0.496
# - mass density (g cm⁻³) = 6.2
# - M_tot (Bohr magnetons per cell) = 0.00